#i
K2Hg3Se4 | PBE | relaxed

Summary:
crystal system: orthorhombic
SG: Pbcn

The structure in CIF format:
```
data_K2Hg3Se4
_chemical_formula_sum 'K8 Hg12 Se16'
_symmetry_space_group_name_H-M 'P 1'
_symmetry_Int_Tables_number 1
_symmetry_space_group_name_Hall 'P 1'
_cell_length_a 7.013
_cell_length_b 11.158
_cell_length_c 14.211
_cell_angle_alpha 90.00
_cell_angle_beta 90.00
_cell_angle_gamma 90.00
loop_
_atom_site_label
_atom_site_fract_x
_atom_site_fract_y
_atom_site_fract_z
Hg1 0.091 0.337 0.740
Hg2 0.091 0.663 0.760
Se1 0.871 0.130 0.629
Hg3 0.909 0.663 0.260
Se2 0.129 0.870 0.371
Se3 0.830 0.635 0.638
Se4 0.830 0.365 0.862
Se5 0.170 0.635 0.138
Se6 0.330 0.135 0.862
Se7 0.629 0.630 0.371
Hg4 0.907 0.000 0.250
K1 0.270 0.118 0.497
K2 0.230 0.618 0.503
Hg5 0.409 0.163 0.240
Se8 0.371 0.370 0.629
K3 0.230 0.382 0.997
Se9 0.629 0.370 0.129
Hg6 0.407 0.500 0.250
Se10 0.170 0.365 0.362
K4 0.770 0.382 0.497
K5 0.770 0.618 0.003
Hg7 0.409 0.837 0.260
Se11 0.371 0.630 0.871
Hg8 0.591 0.163 0.740
Hg9 0.593 0.500 0.750
K6 0.730 0.882 0.503
Se12 0.330 0.865 0.638
Se13 0.129 0.130 0.129
Se14 0.670 0.865 0.138
Se15 0.871 0.870 0.871
K7 0.730 0.118 0.997
K8 0.270 0.882 0.003
Hg10 0.591 0.837 0.760
Hg11 0.093 0.000 0.750
Se16 0.670 0.135 0.362
Hg12 0.909 0.337 0.240
```


#ii
K2Hg3Se4 | PBE | relaxed

Summary:
crystal system: monoclinic
SG: C2/c

The structure in CIF format:
```
data_K2Hg3Se4
_chemical_formula_sum 'K4 Hg6 Se8'
_symmetry_space_group_name_H-M 'P 1'
_symmetry_Int_Tables_number 1
_symmetry_space_group_name_Hall 'P 1'
_cell_length_a 7.420
_cell_length_b 10.082
_cell_length_c 10.082
_cell_angle_alpha 117.68
_cell_angle_beta 89.52
_cell_angle_gamma 89.52
loop_
_atom_site_label
_atom_site_fract_x
_atom_site_fract_y
_atom_site_fract_z
Hg1 0.250 0.701 0.299
K1 0.391 0.233 0.432
K2 0.891 0.432 0.233
Hg2 0.750 0.299 0.701
Se1 0.487 0.115 0.698
Se2 0.916 0.251 0.436
Se3 0.584 0.564 0.749
Hg3 0.933 0.972 0.283
Se4 0.987 0.698 0.115
Se5 0.084 0.749 0.564
Se6 0.513 0.885 0.302
Se7 0.013 0.302 0.885
Se8 0.416 0.436 0.251
Hg4 0.067 0.028 0.717
K3 0.109 0.568 0.767
K4 0.609 0.767 0.568
Hg5 0.433 0.283 0.972
Hg6 0.567 0.717 0.028
```


It comes down to #i, which is 0.025 eV/atom more stable than the next structure.